# 1
Entry from Alexandria via LeMat-Bulk: a relaxed structure of Ca2YGa (PBE). Values from VASP.

Geometry as Quantum ESPRESSO input:
```
&SYSTEM
  ibrav = 0, nat = 8, ntyp = 3
/
ATOMIC_SPECIES
Ca 40.08 Ca.upf
Y 88.91 Y.upf
Ga 69.72 Ga.upf
CELL_PARAMETERS angstrom
-4.4863 4.4863 3.2040
4.4863 -4.4863 3.2040
4.4863 4.4863 -3.2040
ATOMIC_POSITIONS crystal
Ca 0.0664 0.1250 0.4414
Ca 0.3750 0.9336 0.0586
Ca 0.6836 0.6250 0.5586
Ca 0.8750 0.3164 0.9414
Y 0.2500 0.7500 0.5000
Y 0.5000 0.5000 0.0000
Ga 0.0000 0.0000 0.0000
Ga 0.7500 0.2500 0.5000
```

Output
Formation enthalpy at 0 K: 0.05 eV/atom

***

# 2
Entry from Alexandria via LeMat-Bulk: a relaxed structure of Mg2Ir3 (PBE). Values from VASP.

Geometry as Quantum ESPRESSO input:
```
&SYSTEM
  ibrav = 0, nat = 5, ntyp = 2
/
ATOMIC_SPECIES
Mg 24.30 Mg.upf
Ir 192.22 Ir.upf
CELL_PARAMETERS angstrom
1.4119 0.8151 11.0412
-1.4119 0.8151 11.0412
0.0000 -1.6303 11.0412
ATOMIC_POSITIONS crystal
Mg 0.0998 0.0998 0.0998
Mg 0.9002 0.9002 0.9002
Ir 0.3004 0.3004 0.3004
Ir 0.5000 0.5000 0.5000
Ir 0.6996 0.6996 0.6996
```

Output
Formation enthalpy at 0 K: -0.13 eV/atom
Energy above the most stable polymorph in this dataset: 214.7 meV/atom

***

# 3
Entry from Alexandria via LeMat-Bulk: a relaxed structure of Ho4Tm3Mg (PBE). Values from VASP.

Geometry as Quantum ESPRESSO input:
```
&SYSTEM
  ibrav = 0, nat = 8, ntyp = 3
/
ATOMIC_SPECIES
Ho 164.93 Ho.upf
Tm 168.93 Tm.upf
Mg 24.30 Mg.upf
CELL_PARAMETERS angstrom
-3.0307 4.3876 4.9285
3.0307 -4.3876 4.9285
3.0307 4.3876 -4.9285
ATOMIC_POSITIONS crystal
Ho 0.1735 0.0000 0.1735
Ho 0.5524 0.3032 0.7508
Ho 0.5524 0.8016 0.2492
Ho 0.8265 0.0000 0.8265
Tm 0.0071 0.6877 0.3194
Tm 0.3684 0.6877 0.6806
Tm 0.8635 0.3635 0.5000
Mg 0.2760 0.2760 0.0000
```

Output
Formation enthalpy at 0 K: 0.46 eV/atom
Energy above the most stable polymorph in this dataset: 213.9 meV/atom

***

# 4
Entry from Alexandria via LeMat-Bulk: a relaxed structure of Co2PbBr (PBE). Values from VASP.

Geometry as Quantum ESPRESSO input:
```
&SYSTEM
  ibrav = 0, nat = 4, ntyp = 3
/
ATOMIC_SPECIES
Co 58.93 Co.upf
Pb 207.20 Pb.upf
Br 79.90 Br.upf
CELL_PARAMETERS angstrom
1.6515 -2.9636 0.0000
1.6515 2.9636 0.0000
0.0000 0.0000 8.0412
ATOMIC_POSITIONS crystal
Co 0.0000 0.0000 0.2381
Co 0.0000 0.0000 0.7619
Pb 0.5000 0.5000 0.5000
Br 0.5000 0.5000 0.0000
```

Output
Formation energy without anion corrections: 0.71 eV per atom
Energy above the most stable polymorph in this dataset: 446.8 meV/atom